Record 1
This record from Alexandria via LeMat-Bulk describes crystalline Tb2GdGa at its relaxed geometry. The functional is PBE-GGA.

Geometry as POSCAR:
```
Tb2GdGa
1.0
5.330 0.000 0.000
2.665 4.616 0.000
2.665 1.539 4.350
Tb Gd Ga
2 1 1
Direct
0.250 0.250 0.250
0.750 0.750 0.750
0.500 0.500 0.500
0.000 0.000 0.000
```

Properties
offset from the most stable computed form: 0.690 eV per formula unit
mass density: 8.45 g cm⁻³
M_tot: 8.236 μB per formula unit
calculated formation energy: -0.10 eV per atom

Record 2
This record from Alexandria via LeMat-Bulk describes crystalline TbGdTlGa at its relaxed geometry. The functional is PBE-GGA.

Geometry as POSCAR:
```
TbGdTlGa
1.0
-1.316 -2.999 -4.116
3.133 -3.958 -1.478
-1.520 -4.979 0.753
Ga Tl Gd Tb
1 1 1 1
Direct
0.250 0.250 0.250
0.750 0.750 0.750
0.500 0.500 0.500
0.000 0.000 0.000
```

Properties
mass density: 9.52 g cm⁻³
M_tot: 7.238 μB per formula unit
calculated formation energy: -0.44 eV per atom

Record 3
This record from Alexandria via LeMat-Bulk describes crystalline TbGdTmGa at its relaxed geometry. The functional is PBE-GGA.

Geometry as POSCAR:
```
TbGdTmGa
1.0
5.313 0.000 0.000
2.657 4.601 0.000
2.657 1.534 4.338
Tm Ga Gd Tb
1 1 1 1
Direct
0.750 0.750 0.750
0.250 0.250 0.250
0.500 0.500 0.500
0.000 0.000 0.000
```

Properties
mass density: 8.69 g cm⁻³
M_tot: 8.178 μB per formula unit
calculated formation energy: -0.12 eV per atom

Record 4
This record from Alexandria via LeMat-Bulk describes crystalline GdGaTc at its relaxed geometry. The functional is PBE-GGA.

Geometry as POSCAR:
```
GdGaTc
1.0
3.456 0.000 0.000
0.000 3.456 0.000
-1.728 -1.728 4.911
Gd Ga Tc
1 1 1
Direct
0.947 0.947 0.894
0.652 0.652 0.305
0.250 0.250 0.501
```

Properties
offset from the most stable computed form: 0.000 eV per formula unit
mass density: 9.20 g cm⁻³
M_tot: 7.067 μB per formula unit
calculated formation energy: -0.21 eV per atom

Record 5
This record from Alexandria via LeMat-Bulk describes crystalline GdGaTc at its relaxed geometry. The functional is PBE-GGA.

Geometry as POSCAR:
```
GdGaTc
1.0
3.747 0.000 0.000
0.000 4.368 0.000
0.000 -2.184 3.783
Ga Tc Gd
1 1 1
Direct
0.167 0.000 0.000
0.167 0.333 0.667
0.667 0.667 0.333
```

Properties
offset from the most stable computed form: 0.066 eV per formula unit
mass density: 8.72 g cm⁻³
M_tot: 7.092 μB per formula unit
calculated formation energy: -0.19 eV per atom

Record 6
This record from Alexandria via LeMat-Bulk describes crystalline GdThGaTc at its relaxed geometry. The functional is PBE-GGA.

Geometry as POSCAR:
```
GdThGaTc
1.0
5.071 0.000 0.000
2.535 4.391 0.000
2.535 1.464 4.140
Gd Th Ga Tc
1 1 1 1
Direct
0.750 0.750 0.750
0.250 0.250 0.250
0.000 0.000 0.000
0.500 0.500 0.500
```

Properties
mass density: 10.03 g cm⁻³
M_tot: 6.949 μB per formula unit
calculated formation energy: -0.21 eV per atom

Record 7
This record from Alexandria via LeMat-Bulk describes crystalline GdTmGaTc at its relaxed geometry. The functional is PBE-GGA.

Geometry as POSCAR:
```
GdTmGaTc
1.0
-2.726 2.510 -3.262
-1.597 -2.220 -4.110
-4.794 -1.049 -0.536
Tm Tc Gd Ga
1 1 1 1
Direct
0.750 0.750 0.750
0.500 0.500 0.500
0.250 0.250 0.250
0.000 0.000 0.000
```

Properties
mass density: 9.64 g cm⁻³
M_tot: 6.979 μB per formula unit
calculated formation energy: -0.24 eV per atom

Record 8
This record from Alexandria via LeMat-Bulk describes crystalline GdZrGaTc at its relaxed geometry. The functional is PBE-GGA.

Geometry as POSCAR:
```
GdZrGaTc
1.0
-4.618 -0.524 1.381
-1.977 -4.422 0.223
-1.034 -1.979 4.304
Zr Ga Tc Gd
1 1 1 1
Direct
0.000 0.000 0.000
0.250 0.250 0.250
0.750 0.750 0.750
0.500 0.500 0.500
```

Properties
mass density: 8.57 g cm⁻³
M_tot: 7.024 μB per formula unit
calculated formation energy: -0.26 eV per atom

Record 9
This record from Alexandria via LeMat-Bulk describes crystalline GdThGa4 at its relaxed geometry. The functional is PBE-GGA.

Geometry as POSCAR:
```
GdThGa4
1.0
-0.694 5.561 -0.395
-5.122 2.238 0.562
-1.266 3.004 4.575
Th Ga Gd
1 4 1
Direct
0.000 0.000 0.000
0.625 0.625 0.125
0.625 0.625 0.625
0.125 0.625 0.625
0.625 0.125 0.625
0.250 0.250 0.250
```

Properties
mass density: 8.85 g cm⁻³
M_tot: 7.361 μB per formula unit
calculated formation energy: -0.50 eV per atom

Record 10
This record from Alexandria via LeMat-Bulk describes crystalline GdThGa2 at its relaxed geometry. The functional is PBE-GGA.

Geometry as POSCAR:
```
GdThGa2
1.0
-1.411 -0.356 4.968
-4.567 -2.092 1.250
-0.181 -4.627 2.314
Gd Ga Th
1 2 1
Direct
0.500 0.500 0.500
0.250 0.250 0.250
0.750 0.750 0.750
0.000 0.000 0.000
```

Properties
offset from the most stable computed form: 0.112 eV per formula unit
mass density: 8.95 g cm⁻³
M_tot: 7.235 μB per formula unit
calculated formation energy: -0.47 eV per atom

Record 11
This record from Alexandria via LeMat-Bulk describes crystalline Gd2ThGa at its relaxed geometry. The functional is PBE-GGA.

Geometry as POSCAR:
```
Gd2ThGa
1.0
-2.051 2.827 -0.501
-3.504 -0.373 -0.183
-2.612 2.308 11.301
Ga Gd Th
1 2 1
Direct
0.000 0.000 0.000
0.087 0.087 0.740
0.913 0.913 0.260
0.500 0.500 0.500
```

Properties
offset from the most stable computed form: 1.650 eV per formula unit
mass density: 8.15 g cm⁻³
M_tot: 14.542 μB per formula unit
calculated formation energy: 0.14 eV per atom

Record 12
This record from Alexandria via LeMat-Bulk describes crystalline Gd2ThGa at its relaxed geometry. The functional is PBE-GGA.

Geometry as POSCAR:
```
Gd2ThGa
1.0
-1.790 0.165 -3.075
-0.581 -3.511 0.150
-7.424 1.416 4.397
Gd Th Ga
2 1 1
Direct
0.000 0.000 0.784
0.000 0.000 0.216
0.500 0.500 0.500
0.500 0.500 0.000
```

Properties
offset from the most stable computed form: 0.000 eV per formula unit
mass density: 9.23 g cm⁻³
M_tot: 14.063 μB per formula unit
calculated formation energy: -0.27 eV per atom